# Er3Zn8Pt PBE-GGA optimized geometry
# Theoretical density   9.6 g cm⁻³
# Total magnetic moment   0.00 μB per formula unit
# Formation energy   -0.386 eV/atom
data_Er3Zn8Pt
_cell_length_a 5.2610
_cell_length_b 5.2610
_cell_length_c 26.4750
_cell_angle_alpha 90.00
_cell_angle_beta 90.00
_cell_angle_gamma 120.00
_space_group_name_H-M_alt 'R 3 m'
_space_group_IT_number 160
_space_group_name_Hall 'R 3 -2"'
loop_
_atom_site_label
_atom_site_type_symbol
_atom_site_fract_x
_atom_site_fract_y
_atom_site_fract_z
Er1 Er 0.0000 0.0000 0.0000
Er2 Er 0.0000 0.0000 0.1265
Er3 Er 0.0000 0.0000 0.6131
Zn1 Zn 0.0000 0.0000 0.3086
Zn2 Zn 0.0000 0.0000 0.8101
Zn3 Zn 0.0002 0.5001 0.5581
Zn4 Zn 0.0016 0.5008 0.0613
Pt1 Pt 0.0000 0.0000 0.5025

# ErZn4Pt PBE-GGA optimized geometry
# Theoretical density   10.6 g cm⁻³
# Relative energy among the computed polymorphs   61 meV per atom
# Total magnetic moment   0.00 μB per formula unit
# Formation energy   -0.404 eV/atom
data_ErZn4Pt
_cell_length_a 7.3062
_cell_length_b 7.3062
_cell_length_c 7.3062
_cell_angle_alpha 90.00
_cell_angle_beta 90.00
_cell_angle_gamma 90.00
_space_group_name_H-M_alt 'F -4 3 m'
_space_group_IT_number 216
_space_group_name_Hall 'F -4 2 3'
loop_
_atom_site_label
_atom_site_type_symbol
_atom_site_fract_x
_atom_site_fract_y
_atom_site_fract_z
Er1 Er 0.0000 0.0000 0.0000
Zn1 Zn 0.1244 0.1244 0.3756
Pt1 Pt 0.2500 0.2500 0.7500

# Er2ZnPt6 PBE-GGA optimized geometry
# Theoretical density   14.5 g cm⁻³
# Total magnetic moment   0.00 μB per formula unit
# Formation energy   -0.708 eV/atom
data_Er2ZnPt6
_cell_length_a 12.4028
_cell_length_b 7.9486
_cell_length_c 3.8485
_cell_angle_alpha 90.00
_cell_angle_beta 108.01
_cell_angle_gamma 90.00
_space_group_name_H-M_alt 'C 1 2/m 1'
_space_group_IT_number 12
_space_group_name_Hall '-C 2y'
loop_
_atom_site_label
_atom_site_type_symbol
_atom_site_fract_x
_atom_site_fract_y
_atom_site_fract_z
Er1 Er 0.1559 0.0000 0.1579
Zn1 Zn 0.0000 0.5000 0.5000
Pt1 Pt 0.0000 0.2774 0.0000
Pt2 Pt 0.1637 0.2661 0.6649

# Er3Zn3Pt PBE-GGA optimized geometry
# Theoretical density   9.8 g cm⁻³
# Total magnetic moment   0.00 μB per formula unit
# Formation energy   -0.582 eV/atom
data_Er3Zn3Pt
_cell_length_a 3.6323
_cell_length_b 4.4385
_cell_length_c 18.8171
_cell_angle_alpha 90.00
_cell_angle_beta 90.00
_cell_angle_gamma 90.00
_space_group_name_H-M_alt 'I m m 2'
_space_group_IT_number 44
_space_group_name_Hall 'I 2 -2'
loop_
_atom_site_label
_atom_site_type_symbol
_atom_site_fract_x
_atom_site_fract_y
_atom_site_fract_z
Er1 Er 0.0000 0.0000 0.0000
Er2 Er 0.0000 0.0000 0.3774
Er3 Er 0.0000 0.5000 0.2028
Zn1 Zn 0.0000 0.0000 0.5525
Zn2 Zn 0.0000 0.0000 0.8378
Zn3 Zn 0.0000 0.5000 0.6251
Pt1 Pt 0.0000 0.5000 0.7607

# ErZnPt6 PBE-GGA optimized geometry
# Theoretical density   15.2 g cm⁻³
# Relative energy among the computed polymorphs   546 meV per atom
# Total magnetic moment   0.00 μB per formula unit
# Formation energy   -0.154 eV/atom
data_ErZnPt6
_cell_length_a 7.4243
_cell_length_b 7.4243
_cell_length_c 9.6562
_cell_angle_alpha 90.00
_cell_angle_beta 90.00
_cell_angle_gamma 120.00
_space_group_name_H-M_alt 'R -3 m'
_space_group_IT_number 166
_space_group_name_Hall '-R 3 2"'
loop_
_atom_site_label
_atom_site_type_symbol
_atom_site_fract_x
_atom_site_fract_y
_atom_site_fract_z
Er1 Er 0.0000 0.0000 0.0000
Zn1 Zn 0.0000 0.0000 0.5000
Pt1 Pt 0.0907 0.5453 0.3747

# ErZn2Pt2 PBE-GGA optimized geometry
# Theoretical density   12.6 g cm⁻³
# Relative energy among the computed polymorphs   0 meV per atom
# Total magnetic moment   0.00 μB per formula unit
# Formation energy   -0.828 eV/atom
data_ErZn2Pt2
_cell_length_a 3.7660
_cell_length_b 3.7660
_cell_length_c 12.8267
_cell_angle_alpha 90.00
_cell_angle_beta 90.00
_cell_angle_gamma 90.00
_space_group_name_H-M_alt 'I 4/m m m'
_space_group_IT_number 139
_space_group_name_Hall '-I 4 2'
loop_
_atom_site_label
_atom_site_type_symbol
_atom_site_fract_x
_atom_site_fract_y
_atom_site_fract_z
Er1 Er 0.0000 0.0000 0.0000
Zn1 Zn 0.0000 0.5000 0.2500
Pt1 Pt 0.0000 0.0000 0.3942

# ErZnPt3 PBE-GGA optimized geometry
# Theoretical density   14.8 g cm⁻³
# Total magnetic moment   0.00 μB per formula unit
# Formation energy   -0.723 eV/atom
data_ErZnPt3
_cell_length_a 6.5975
_cell_length_b 10.3686
_cell_length_c 5.3815
_cell_angle_alpha 90.00
_cell_angle_beta 90.00
_cell_angle_gamma 90.00
_space_group_name_H-M_alt 'C m c m'
_space_group_IT_number 63
_space_group_name_Hall '-C 2c 2'
loop_
_atom_site_label
_atom_site_type_symbol
_atom_site_fract_x
_atom_site_fract_y
_atom_site_fract_z
Er1 Er 0.0000 0.1799 0.2500
Zn1 Zn 0.0000 0.5000 0.0000
Pt1 Pt 0.0000 0.2984 0.7500
Pt2 Pt 0.2028 0.0780 0.7500

# Er3Zn2Pt3 PBE-GGA optimized geometry
# Theoretical density   12.9 g cm⁻³
# Relative energy among the computed polymorphs   64 meV per atom
# Total magnetic moment   0.00 μB per formula unit
# Formation energy   -0.901 eV/atom
data_Er3Zn2Pt3
_cell_length_a 3.5726
_cell_length_b 4.7333
_cell_length_c 18.6015
_cell_angle_alpha 90.00
_cell_angle_beta 90.00
_cell_angle_gamma 90.00
_space_group_name_H-M_alt 'I m m m'
_space_group_IT_number 71
_space_group_name_Hall '-I 2 2'
loop_
_atom_site_label
_atom_site_type_symbol
_atom_site_fract_x
_atom_site_fract_y
_atom_site_fract_z
Er1 Er 0.0000 0.0000 0.0000
Er2 Er 0.0000 0.5000 0.1291
Zn1 Zn 0.0000 0.0000 0.2392
Pt1 Pt 0.0000 0.0000 0.5000
Pt2 Pt 0.0000 0.5000 0.3662

# Er4Zn5Pt6 PBE-GGA optimized geometry
# Theoretical density   12.5 g cm⁻³
# Total magnetic moment   0.00 μB per formula unit
# Formation energy   -0.861 eV/atom
data_Er4Zn5Pt6
_cell_length_a 4.0000
_cell_length_b 20.5148
_cell_length_c 14.0491
_cell_angle_alpha 90.00
_cell_angle_beta 90.00
_cell_angle_gamma 90.00
_space_group_name_H-M_alt 'C m c 21'
_space_group_IT_number 36
_space_group_name_Hall 'C 2c -2'
loop_
_atom_site_label
_atom_site_type_symbol
_atom_site_fract_x
_atom_site_fract_y
_atom_site_fract_z
Er1 Er 0.0000 0.0302 0.0000
Er2 Er 0.0000 0.0531 0.2660
Er3 Er 0.0000 0.1374 0.7747
Er4 Er 0.0000 0.1818 0.4366
Zn1 Zn 0.0000 0.1860 0.1099
Zn2 Zn 0.0000 0.3215 0.1038
Zn3 Zn 0.0000 0.3236 0.7697
Zn4 Zn 0.0000 0.3511 0.4541
Zn5 Zn 0.0000 0.4664 0.1562
Pt1 Pt 0.0000 0.0940 0.5862
Pt2 Pt 0.0000 0.2248 0.9338
Pt3 Pt 0.0000 0.2575 0.2636
Pt4 Pt 0.0000 0.4050 0.6234
Pt5 Pt 0.0000 0.4174 0.9207
Pt6 Pt 0.0000 0.4558 0.3452

# Er2Zn5Pt PBE-GGA optimized geometry
# Theoretical density   9.5 g cm⁻³
# Total magnetic moment   0.00 μB per formula unit
# Formation energy   -0.516 eV/atom
data_Er2Zn5Pt
_cell_length_a 3.9772
_cell_length_b 16.4712
_cell_length_c 9.0961
_cell_angle_alpha 90.00
_cell_angle_beta 90.00
_cell_angle_gamma 90.00
_space_group_name_H-M_alt 'C m c m'
_space_group_IT_number 63
_space_group_name_Hall '-C 2c 2'
loop_
_atom_site_label
_atom_site_type_symbol
_atom_site_fract_x
_atom_site_fract_y
_atom_site_fract_z
Er1 Er 0.0000 0.0000 0.0000
Er2 Er 0.0000 0.1807 0.2500
Zn1 Zn 0.0000 0.2004 0.6073
Zn2 Zn 0.0000 0.3577 0.5209
Zn3 Zn 0.0000 0.3917 0.2500
Pt1 Pt 0.0000 0.4527 0.7500

# ErZnPt6 PBE-GGA optimized geometry
# Theoretical density   17.9 g cm⁻³
# Relative energy among the computed polymorphs   0 meV per atom
# Total magnetic moment   0.00 μB per formula unit
# Formation energy   -0.700 eV/atom
data_ErZnPt6
_cell_length_a 4.0419
_cell_length_b 4.0419
_cell_length_c 7.9462
_cell_angle_alpha 90.00
_cell_angle_beta 90.00
_cell_angle_gamma 90.00
_space_group_name_H-M_alt 'P 4/m m m'
_space_group_IT_number 123
_space_group_name_Hall '-P 4 2'
loop_
_atom_site_label
_atom_site_type_symbol
_atom_site_fract_x
_atom_site_fract_y
_atom_site_fract_z
Er1 Er 0.0000 0.0000 0.0000
Zn1 Zn 0.0000 0.0000 0.5000
Pt1 Pt 0.0000 0.5000 0.2633
Pt2 Pt 0.5000 0.5000 0.0000
Pt3 Pt 0.5000 0.5000 0.5000

# Er3Zn2Pt4 PBE-GGA optimized geometry
# Theoretical density   13.1 g cm⁻³
# Total magnetic moment   0.00 μB per formula unit
# Formation energy   -1.015 eV/atom
data_Er3Zn2Pt4
_cell_length_a 11.1560
_cell_length_b 4.1715
_cell_length_c 8.6679
_cell_angle_alpha 90.00
_cell_angle_beta 117.58
_cell_angle_gamma 90.00
_space_group_name_H-M_alt 'C 1 2/m 1'
_space_group_IT_number 12
_space_group_name_Hall '-C 2y'
loop_
_atom_site_label
_atom_site_type_symbol
_atom_site_fract_x
_atom_site_fract_y
_atom_site_fract_z
Er1 Er 0.0000 0.0000 0.0000
Er2 Er 0.1410 0.5000 0.6948
Zn1 Zn 0.1640 0.5000 0.3309
Pt1 Pt 0.0738 0.0000 0.4084
Pt2 Pt 0.2060 0.5000 0.0663

Computed VASP energy (eV/atom) in order:
-2.879, -3.021, -5.890, -3.946, -5.414, -4.667, -5.515, -5.196, -4.919, -3.208, -5.961, -5.504
Computed D(E_F) (states/eV/f.u.) in order:
6.82, 4.64, 3.39, 5.74, 6.84, 2.03, 1.68, 4.75, 5.53, 3.45, 6.70, 4.14